1.
First-principles (GGA-PBE) data for a geometry-optimized CeEr2Hg4 structure, as listed in the Alexandria database.

Computed properties:
* DOS(E_F): 28.366 states/eV per cell
* ΔH_f (0 K): -0.2488 eV per atom
* VASP energy: -2.573 eV per atom

Geometry as CIF:
```
data_CeEr2Hg4
_cell_length_a 4.9438
_cell_length_b 4.9438
_cell_length_c 26.8866
_cell_angle_alpha 90.00
_cell_angle_beta 90.00
_cell_angle_gamma 120.00
_space_group_name_H-M_alt 'R -3 m'
_space_group_IT_number 166
_space_group_name_Hall '-R 3 2"'
loop_
_atom_site_label
_atom_site_fract_x
_atom_site_fract_y
_atom_site_fract_z
Ce1 0.0000 0.0000 0.0000
Er1 0.0000 0.0000 0.1248
Hg1 0.0000 0.0000 0.2451
Hg2 0.0000 0.0000 0.3954
```

2.
First-principles (GGA-PBE) data for a geometry-optimized Cr4Te3S structure, as listed in the Alexandria database.

Computed properties:
* DOS(E_F): 8.802 states/eV per cell
* formation energy from raw total energies: -0.82 eV per formula unit
* VASP energy: -6.608 eV per atom

Geometry as CIF:
```
data_Cr4Te3S
_cell_length_a 3.9819
_cell_length_b 12.5257
_cell_length_c 6.8248
_cell_angle_alpha 90.00
_cell_angle_beta 90.00
_cell_angle_gamma 90.00
_space_group_name_H-M_alt 'I m m 2'
_space_group_IT_number 44
_space_group_name_Hall 'I 2 -2'
loop_
_atom_site_label
_atom_site_fract_x
_atom_site_fract_y
_atom_site_fract_z
Cr1 0.0000 0.1161 0.0000
Cr2 0.0000 0.3774 0.0573
Te1 0.0000 0.0000 0.3679
Te2 0.0000 0.2622 0.6951
S1 0.0000 0.5000 0.3538
```

3.
First-principles (GGA-PBE) data for a geometry-optimized SbTeMo structure, as listed in the Alexandria database.

Computed properties:
* DOS(E_F): 2.709 states/eV per cell
* formation energy from raw total energies: 1.48 eV per formula unit
* VASP energy: -5.539 eV per atom

Geometry as CIF:
```
data_SbTeMo
_cell_length_a 4.7431
_cell_length_b 4.7431
_cell_length_c 3.4431
_cell_angle_alpha 90.00
_cell_angle_beta 90.00
_cell_angle_gamma 120.00
_space_group_name_H-M_alt 'P -6 m 2'
_space_group_IT_number 187
_space_group_name_Hall 'P -6 2'
loop_
_atom_site_label
_atom_site_fract_x
_atom_site_fract_y
_atom_site_fract_z
Sb1 0.0000 0.0000 0.0000
Te1 0.6667 0.3333 0.5000
Mo1 0.3333 0.6667 0.5000
```

4.
First-principles (GGA-PBE) data for a geometry-optimized Pm4Cu3Bi8 structure, as listed in the Alexandria database.

Computed properties:
* DOS(E_F): 4.598 states/eV per cell
* ΔH_f (0 K): -0.5064 eV per atom
* VASP energy: -4.662 eV per atom

Geometry as CIF:
```
data_Pm4Cu3Bi8
_cell_length_a 4.5883
_cell_length_b 4.5883
_cell_length_c 19.4382
_cell_angle_alpha 90.00
_cell_angle_beta 90.00
_cell_angle_gamma 90.00
_space_group_name_H-M_alt 'P -4 m 2'
_space_group_IT_number 115
_space_group_name_Hall 'P -4 -2'
loop_
_atom_site_label
_atom_site_fract_x
_atom_site_fract_y
_atom_site_fract_z
Pm1 0.0000 0.5000 0.1138
Pm2 0.0000 0.5000 0.6195
Cu1 0.0000 0.0000 0.0000
Cu2 0.0000 0.0000 0.5000
Cu3 0.5000 0.5000 0.5000
Bi1 0.0000 0.0000 0.2471
Bi2 0.0000 0.5000 0.4182
Bi3 0.0000 0.5000 0.9268
Bi4 0.5000 0.5000 0.2477
```